[1]
Pr2ScSi2 GGA-PBEsol optimized geometry; space-group type = P4/mbm, No. 127
1.0
4.402 0.000 0.000
0.000 7.335 0.000
0.000 0.000 7.335
Pr Sc Si
4 2 4
direct
0.500 0.678 0.178
0.500 0.322 0.822
0.500 0.178 0.322
0.500 0.822 0.678
0.000 0.000 0.000
0.000 0.500 0.500
0.000 0.118 0.618
0.000 0.882 0.382
0.000 0.618 0.882
0.000 0.382 0.118


[2]
Pr10Se19 GGA-PBEsol optimized geometry; space-group type = P4_2/n, No. 86
1.0
-1.308 9.039 1.436
-2.349 1.071 -8.878
-16.174 -2.963 3.922
Pr Se
20 38
direct
0.000 0.500 0.133
0.000 0.500 0.633
0.500 0.000 0.367
0.500 0.000 0.867
0.398 0.304 0.644
0.196 0.898 0.144
0.804 0.102 0.144
0.602 0.696 0.644
0.102 0.196 0.856
0.304 0.602 0.356
0.696 0.398 0.356
0.898 0.804 0.856
0.206 0.903 0.630
0.597 0.706 0.130
0.403 0.294 0.130
0.794 0.097 0.630
0.294 0.597 0.870
0.903 0.794 0.370
0.097 0.206 0.370
0.706 0.403 0.870
0.000 0.500 0.814
0.000 0.500 0.314
0.500 0.000 0.686
0.500 0.000 0.186
0.399 0.302 0.314
0.198 0.899 0.814
0.802 0.101 0.814
0.601 0.698 0.314
0.101 0.198 0.186
0.302 0.601 0.686
0.698 0.399 0.686
0.899 0.802 0.186
0.799 0.097 0.321
0.403 0.299 0.821
0.597 0.701 0.821
0.201 0.903 0.321
0.701 0.403 0.179
0.097 0.201 0.679
0.903 0.799 0.679
0.299 0.597 0.179
0.815 0.631 0.999
0.869 0.315 0.499
0.131 0.685 0.499
0.185 0.369 0.999
0.685 0.869 0.501
0.631 0.185 0.001
0.369 0.815 0.001
0.315 0.131 0.501
0.079 0.720 0.000
0.780 0.579 0.500
0.220 0.421 0.500
0.921 0.280 0.000
0.421 0.780 0.500
0.720 0.921 0.000
0.280 0.079 0.000
0.579 0.220 0.500
0.000 0.000 0.500
0.500 0.500 0.000


[3]
Pr3Se4 GGA-PBEsol optimized geometry; space-group type = I-43d, No. 220
1.0
-3.625 -2.729 -6.189
2.769 -5.847 4.128
-4.927 4.043 4.275
Pr Se
6 8
direct
0.125 0.875 0.250
0.625 0.250 0.875
0.875 0.750 0.625
0.250 0.375 0.125
0.750 0.125 0.375
0.375 0.625 0.750
0.347 0.000 0.000
0.500 0.847 0.500
0.000 0.500 0.347
0.653 0.653 0.153
0.000 0.500 0.847
0.153 0.153 0.653
0.847 0.000 0.000
0.500 0.347 0.500


[4]
Pr2Se3 GGA-PBEsol optimized geometry; space-group type = I-42d, No. 122
1.0
-1.917 -6.924 5.173
6.261 2.540 5.720
-11.109 9.537 1.074
Pr Se
16 24
direct
0.833 0.833 0.666
0.125 0.495 0.750
0.827 0.703 0.920
0.417 0.917 0.834
0.093 0.216 0.920
0.625 0.255 0.750
0.784 0.173 0.080
0.505 0.375 0.250
0.083 0.583 0.166
0.745 0.875 0.250
0.297 0.907 0.080
0.167 0.167 0.334
0.466 0.843 0.420
0.157 0.047 0.580
0.423 0.534 0.580
0.953 0.577 0.420
0.490 0.893 0.635
0.928 0.175 0.705
0.146 0.742 0.635
0.104 0.857 0.865
0.760 0.008 0.865
0.777 0.530 0.705
0.156 0.566 0.969
0.473 0.575 0.795
0.596 0.844 0.031
0.813 0.404 0.969
0.322 0.220 0.795
0.780 0.527 0.205
0.425 0.678 0.205
0.434 0.187 0.031
0.825 0.223 0.295
0.143 0.240 0.135
0.258 0.510 0.365
0.470 0.072 0.295
0.992 0.896 0.135
0.437 0.184 0.531
0.094 0.346 0.531
0.107 0.854 0.365
0.816 0.906 0.469
0.654 0.563 0.469


[5]
PrSe GGA-PBEsol optimized geometry; space-group type = Fm-3m, No. 225
1.0
4.204 0.000 0.000
2.102 3.641 0.000
2.102 1.214 3.433
Pr Se
1 1
direct
0.000 0.000 0.000
0.500 0.500 0.500


[6]
SrPr2Se4 GGA-PBEsol optimized geometry; space-group type = I-42d, No. 122
1.0
-0.925 7.692 0.344
-6.919 -3.463 0.514
4.497 -2.327 5.874
Sr Pr Se
2 4 8
direct
0.500 0.500 0.000
0.750 0.250 0.500
0.252 0.875 0.877
0.625 0.748 0.623
0.998 0.375 0.123
0.125 0.002 0.377
0.883 0.632 0.406
0.367 0.274 0.249
0.024 0.118 0.751
0.368 0.774 0.251
0.882 0.633 0.906
0.726 0.976 0.094
0.524 0.117 0.749
0.226 0.476 0.594


[7]
Pr2ZrSe5 GGA-PBEsol optimized geometry; space-group type = Pnma, No. 62
1.0
-3.918 -5.486 3.595
6.104 -5.452 -1.667
5.377 2.884 10.260
Pr Zr Se
8 4 20
direct
0.545 0.503 0.175
0.955 0.997 0.675
0.455 0.003 0.825
0.045 0.497 0.325
0.455 0.497 0.825
0.045 0.003 0.325
0.545 0.997 0.175
0.955 0.503 0.675
0.079 0.250 0.010
0.421 0.250 0.510
0.921 0.750 0.990
0.579 0.750 0.490
0.846 0.250 0.187
0.654 0.250 0.687
0.154 0.750 0.813
0.346 0.750 0.313
0.329 0.250 0.291
0.171 0.250 0.791
0.671 0.750 0.709
0.829 0.750 0.209
0.447 0.250 0.005
0.053 0.250 0.505
0.553 0.750 0.995
0.947 0.750 0.495
0.172 0.539 0.081
0.328 0.961 0.581
0.828 0.039 0.919
0.672 0.461 0.419
0.828 0.461 0.919
0.672 0.039 0.419
0.172 0.961 0.081
0.328 0.539 0.581


[8]
Pr3Si2 GGA-PBEsol optimized geometry; space-group type = P4/mbm, No. 127
1.0
-3.237 0.987 2.604
-3.945 -6.195 -2.555
3.187 -4.343 5.608
Pr Si
6 4
direct
0.000 0.500 0.500
0.000 0.000 0.000
0.500 0.678 0.178
0.500 0.322 0.822
0.500 0.178 0.322
0.500 0.822 0.678
0.000 0.110 0.610
0.000 0.890 0.390
0.000 0.610 0.890
0.000 0.390 0.110


In the order shown, the computed magnetization values come out to 0.002 0.000 0.001 0.000 0.000 0.000 0.000 0.007 Bohr magnetons per cell.
In the order shown, the computed formation energy without anion corrections values come out to -3.66 -50.07 -13.38 -9.60 -3.79 -13.87 -13.91 -3.26 eV per formula unit.